w) Here is a relaxed Pr8Dy4Ho3 crystal from the Alexandria database. Energies are from PBE.

```
Pr8Dy4Ho3
1.0
6.2128 0.0000 3.3507
2.2029 5.8092 3.3507
-2.6070 -1.7996 12.2691
Dy Ho Pr
4 3 8
Cartesian
0.0000 0.0000 0.0000
0.2333 0.1611 14.4378
5.5754 3.8486 4.5328
2.9044 2.0048 9.4853
1.8029 -0.8998 7.8099
-1.3035 -0.8998 6.1346
-0.2021 2.0048 7.8099
4.4268 3.0557 14.0977
1.2544 3.0192 12.5447
0.1483 0.1023 10.8622
3.2678 0.1023 12.5447
4.5543 0.9904 6.4259
5.6604 3.9073 8.1084
2.5409 3.9073 6.4259
1.3819 0.9539 4.8729
```

- V: 517.7 Å³/cell

=====

x) Here is a relaxed Pr8Dy4Ho3 crystal from the Alexandria database. Energies are from PBE.

```
Pr8Dy4Ho3
1.0
6.9251 -0.0346 -0.0497
-3.2292 8.5419 1.5367
-3.2292 -1.5242 8.5441
Pr Dy Ho
8 4 3
Cartesian
3.7743 2.0508 2.9459
0.2334 0.9369 6.7940
0.2334 6.0462 3.2371
-3.2292 5.5797 3.5987
-3.2292 1.4379 6.4820
-3.3075 4.9323 7.0852
0.0844 5.2775 7.5810
0.3824 1.7057 2.4502
-1.6146 -0.7621 4.2720
3.4626 -0.0173 -0.0248
-1.6146 4.2709 0.7683
0.0000 0.0000 0.0000
1.8480 -0.7794 4.2472
0.2334 3.4916 5.0156
1.8480 4.2536 0.7435
```

- V: 519.2 Å³/cell

=====

Stability check: which of them is least stable? x).

=====

w) Here is a relaxed Pr12DyHo7 crystal from the Alexandria database. Energies are from PBE.

```
Pr12DyHo7
1.0
-0.1883 -0.9483 -6.2015
10.0180 5.7180 0.9388
-0.1449 -10.9328 3.7936
Ho Pr Dy
7 12 1
Cartesian
2.2811 0.5636 -5.2057
2.3403 -1.6228 -1.1249
9.8163 2.2181 -3.5701
-0.0942 -0.4742 -3.1008
7.3446 -4.5403 -0.3442
-0.1315 -8.3812 2.1010
7.4037 -6.7267 3.7366
6.3784 -3.4384 2.6574
6.3757 3.1489 -3.0004
5.7369 -1.6129 -0.9887
-0.1290 -4.2523 -1.2554
8.0200 -0.6595 -3.3213
3.3065 -2.7246 -4.1265
3.3091 -9.3120 1.5313
9.8139 -1.9108 -0.2137
3.8333 -7.5153 -2.1409
3.9480 -4.5501 -0.4803
1.6648 -5.5035 1.8522
5.8516 1.3522 0.6718
0.0000 0.0000 0.0000
```

- V: 704.2 Å³/cell

=====

x) Here is a relaxed Pr12DyHo7 crystal from the Alexandria database. Energies are from PBE.

```
Pr12DyHo7
1.0
8.5998 1.2540 1.8822
-1.1868 8.6094 1.8822
-1.1868 -1.5790 8.6701
Pr Ho Dy
12 7 1
Cartesian
2.3701 3.8881 2.3275
3.8562 4.3962 10.1070
0.6301 6.2403 4.8771
1.8394 1.1884 7.6373
5.8190 3.5994 4.0383
3.1506 7.4297 8.4393
6.2607 5.8269 7.9498
4.3869 7.0959 4.7972
3.0758 0.8546 3.9951
-0.0343 2.4575 4.4846
5.5963 2.0441 7.5574
0.4074 4.6850 8.3962
-0.9776 7.6930 7.6386
3.1132 4.1422 6.2172
2.0294 8.0871 2.3929
-1.4351 1.6973 8.3848
7.2039 0.5913 4.7958
4.1969 0.1972 10.0416
7.6614 6.5871 4.0496
0.0000 0.0000 0.0000
```

- V: 700.3 Å³/cell

=====

Stability check: which of them is least stable? w).

=====

w) Here is a relaxed Pr4Dy4Ho3 crystal from the Alexandria database. Energies are from PBE.

```
Pr4Dy4Ho3
1.0
3.5430 0.0002 0.0022
0.0005 5.7006 0.0044
1.7620 2.8363 17.9077
Dy Pr Ho
4 4 3
Cartesian
3.5364 2.8418 11.4414
1.7692 5.6957 6.4726
1.7702 2.8481 1.6226
3.5354 5.6890 16.2926
1.7707 5.6974 3.2445
3.5349 2.8397 14.6691
1.7676 2.8433 8.2822
3.5380 5.6941 9.6319
1.7649 5.6919 13.0629
3.5407 2.8454 4.8517
0.0005 5.7006 0.0047
```

- V: 361.6 Å³/cell

=====

x) Here is a relaxed Pr4Dy4Ho3 crystal from the Alexandria database. Energies are from PBE.

```
Pr4Dy4Ho3
1.0
3.5609 -0.0001 -0.6561
-0.8526 8.2223 -4.6284
0.3606 1.3113 11.9591
Dy Pr Ho
4 4 3
Cartesian
1.6246 1.5029 -1.1741
2.5984 2.5852 4.1139
0.4706 6.9483 2.5607
1.0837 6.7193 -4.1105
2.0007 4.2173 0.8752
1.6975 7.1411 -0.7707
1.0684 5.3162 5.7993
1.3715 2.3923 7.4452
0.3648 1.1535 1.9819
-0.4263 4.1112 -2.3142
2.7042 8.3800 4.6927
```

- V: 374.4 Å³/cell

=====

Stability check: which of them is least stable? x).

=====

w) Here is a relaxed Pr2DyHo7 crystal from the Alexandria database. Energies are from PBE.

```
Pr2DyHo7
1.0
5.5374 2.5976 -0.7730
4.3604 9.2926 -2.8951
-1.3660 0.3505 7.8472
Ho Dy Pr
7 1 2
Cartesian
5.9410 7.9394 3.9444
4.9489 5.9451 -1.8340
2.5909 4.3013 0.2348
7.5343 10.2452 -1.5936
2.7894 6.9767 2.6178
5.7424 5.2640 1.5614
0.9975 1.9955 5.7728
0.0000 0.0000 0.0000
5.1738 8.6043 0.5037
3.3580 3.6364 3.6754
```

- V: 319.8 Å³/cell

=====

x) Here is a relaxed Pr2DyHo7 crystal from the Alexandria database. Energies are from PBE.

```
Pr2DyHo7
1.0
3.5133 0.0000 0.0000
0.0000 13.9894 -4.7906
0.0000 -10.5867 10.3235
Ho Dy Pr
7 1 2
Cartesian
1.7566 0.1724 5.6450
1.7566 3.2303 -0.1121
1.7566 -1.5574 2.8323
0.0000 -6.0661 7.5434
1.7566 4.9601 2.7006
0.0000 9.4688 -2.0105
1.7566 1.7013 2.7665
0.0000 0.0000 0.0000
1.7566 -3.4013 5.9046
1.7566 6.8040 -0.3716
```

- V: 329.2 Å³/cell

=====

Stability check: which of them is least stable? x).

=====

w) Here is a relaxed PrDy4Ho crystal from the Alexandria database. Energies are from PBE.

```
PrDy4Ho
1.0
6.5948 0.0000 0.0000
3.2974 5.7113 0.0000
3.2974 1.9038 5.3847
Dy Pr Ho
4 1 1
Cartesian
8.2478 4.7619 3.3671
6.5949 1.8989 3.3671
6.5949 3.8075 0.6679
4.9419 4.7619 3.3671
3.2974 1.9038 1.3462
0.0000 0.0000 0.0000
```

- V: 202.8 Å³/cell

=====

x) Here is a relaxed PrDy4Ho crystal from the Alexandria database. Energies are from PBE.

```
PrDy4Ho
1.0
8.9834 0.3163 0.0000
-0.8856 6.5303 0.0000
-4.0489 -3.4233 6.5800
Ho Dy Pr
2 8 2
Cartesian
2.2459 0.0791 4.2789
1.8030 3.3442 2.3010
4.9534 2.3695 0.8402
-3.5872 -1.2120 5.7398
-0.9108 1.0777 2.3217
4.9597 2.3456 4.2583
7.6361 4.6353 0.8402
-0.9045 1.0538 5.7398
5.4026 -0.9196 2.3217
-1.3536 4.3429 4.2583
1.8031 3.3442 5.7206
2.2459 0.0791 0.8593
```

- V: 387.9 Å³/cell

=====

Stability check: which of them is least stable? w).

=====

w) Here is a relaxed Pr7Dy3Ho crystal from the Alexandria database. Energies are from PBE.

```
Pr7Dy3Ho
1.0
-1.9291 4.2235 3.7378
-0.5325 -7.7647 3.7385
8.4876 -1.2254 1.0046
Dy Pr Ho
3 7 1
Cartesian
1.3135 -6.4264 3.1790
-0.9645 2.1118 1.8689
6.6416 -2.5637 1.5641
4.4669 0.4241 1.8196
1.5592 -5.1906 6.6612
3.9776 -4.4951 2.3715
-0.7547 -3.3615 3.4023
4.7674 -3.7750 6.6998
6.7808 -1.4051 5.0786
1.2587 -0.9916 1.7810
3.0131 -2.3833 4.2404
```

- V: 391.3 Å³/cell

=====

x) Here is a relaxed Pr7Dy3Ho crystal from the Alexandria database. Energies are from PBE.

```
Pr7Dy3Ho
1.0
-0.8110 1.7388 10.2217
-5.1489 -4.8746 -7.6097
7.1903 -7.5258 7.3694
Pr Dy Ho
14 6 2
Cartesian
2.6182 -3.2389 7.1256
3.6401 -6.5664 6.2951
-2.0312 -2.1065 -2.1226
-4.9994 -3.5918 -0.8198
0.4374 -1.3714 9.4165
-2.8499 -5.5526 -3.0992
3.2616 -8.5552 12.1040
4.0803 -5.1091 13.0805
-0.2963 -4.8491 8.4008
6.2298 -7.0699 10.8011
1.5267 -5.8125 1.5805
-1.3878 -7.4228 2.8558
0.7930 -9.2902 0.5648
-2.4097 -4.0952 3.6862
0.0000 0.0000 0.0000
3.5951 -3.7629 3.6847
-1.7795 -4.7693 0.2681
3.0099 -5.8924 9.7133
-0.6247 -2.1503 6.0458
1.8551 -8.5114 3.9355
0.6152 -5.3308 4.9907
-2.9799 -1.5679 1.3060
```

- V: 800.8 Å³/cell

=====

Stability check: which of them is least stable? w).